A geometry-optimized ZrBi3N structure, computed with PBE.

Results
excess energy over the best structure of this formula in the dataset = 0.775 eV per atom
total magnetization = 2.3 μB per formula unit
symmetry = Pm-3m, No. 221
E_form (uncorrected) = 117.1 kJ per mole of atoms

Cell and atoms, written as POSCAR:
```
ZrBi3N
1.0
5.678 0.000 0.000
0.000 5.678 0.000
0.000 0.000 5.678
N Bi Zr
1 3 1
Direct
0.500 0.500 0.500
0.000 0.000 0.500
0.000 0.500 0.000
0.500 0.000 0.000
0.000 0.000 0.000
```